Record 1
VASP calculation (PBE) on a geometry-optimized Zr3Ag structure.

Cell: 5.672 10.059 6.121 Å, 90.00 90.00 90.00°
Element x y z (fractional)
Zr 0.000 0.250 0.156
Zr 0.000 0.750 0.844
Zr 0.238 0.025 0.621
Zr 0.238 0.475 0.621
Zr 0.262 0.525 0.121
Zr 0.262 0.975 0.121
Zr 0.500 0.250 0.344
Zr 0.500 0.750 0.656
Zr 0.738 0.025 0.879
Zr 0.738 0.475 0.879
Zr 0.762 0.525 0.379
Zr 0.762 0.975 0.379
Ag 0.090 0.750 0.370
Ag 0.410 0.250 0.870
Ag 0.590 0.750 0.130
Ag 0.910 0.250 0.630

**Total DFT energy (no corrections)**: -113.393 eV per cell



Record 2
VASP calculation (PBE) on a geometry-optimized Pm2Tm8Sc structure.

Cell: 9.238 9.238 9.238 Å, 145.54 129.80 62.31°
Element x y z (fractional)
Pm 0.201 0.201 0.000
Pm 0.799 0.799 0.000
Tm 0.080 0.367 0.713
Tm 0.218 0.000 0.218
Tm 0.338 0.838 0.500
Tm 0.346 0.633 0.713
Tm 0.654 0.367 0.287
Tm 0.662 0.162 0.500
Tm 0.782 0.000 0.782
Tm 0.920 0.633 0.287
Sc 0.500 0.500 0.000

**Energy above the most stable polymorph in this dataset**: 84 meV/atom
**Total DFT energy (no corrections)**: -50.298 eV per cell



Record 3
VASP calculation (PBE) on a geometry-optimized DyTm2Ga structure.

Cell: 3.483 3.483 8.775 Å, 90.00 90.00 90.00°
Element x y z (fractional)
Dy 0.000 0.000 0.000
Tm 0.500 0.500 0.291
Tm 0.500 0.500 0.709
Ga 0.000 0.000 0.500

**Energy above the most stable polymorph in this dataset**: 0 meV/atom
**Total DFT energy (no corrections)**: -17.722 eV per cell



Record 4
VASP calculation (PBE) on a geometry-optimized AcPmPuHg structure.

Cell: 5.557 5.557 5.557 Å, 60.00 60.00 60.00°
Element x y z (fractional)
Ac 0.000 0.000 0.000
Pm 0.250 0.250 0.250
Pu 0.750 0.750 0.750
Hg 0.500 0.500 0.500

**Total DFT energy (no corrections)**: -22.970 eV per cell



Record 5
VASP calculation (PBE) on a geometry-optimized Sm2SiH structure.

Cell: 6.217 6.217 8.156 Å, 90.00 90.00 120.00°
Element x y z (fractional)
Sm 0.109 0.393 0.377
Sm 0.283 0.891 0.044
Sm 0.393 0.109 0.623
Sm 0.607 0.717 0.711
Sm 0.717 0.607 0.289
Sm 0.891 0.283 0.956
Si 0.000 0.595 0.667
Si 0.405 0.405 0.000
Si 0.595 0.000 0.333
H 0.000 0.549 0.167
H 0.451 0.451 0.500
H 0.549 0.000 0.833

**Energy above the most stable polymorph in this dataset**: 0 meV/atom
**Total DFT energy (no corrections)**: -59.483 eV per cell



Record 6
VASP calculation (PBE) on a geometry-optimized Pm4Dy2Ho structure.

Cell: 12.516 6.794 13.489 Å, 67.05 29.99 82.96°
Element x y z (fractional)
Pm 0.018 0.982 0.122
Pm 0.128 0.372 0.232
Pm 0.372 0.128 0.268
Pm 0.456 0.606 0.257
Pm 0.569 0.993 0.644
Pm 0.606 0.456 0.681
Pm 0.982 0.018 0.878
Pm 0.993 0.569 0.794
Dy 0.065 0.545 0.004
Dy 0.246 0.865 0.185
Dy 0.545 0.065 0.385
Dy 0.865 0.246 0.705
Ho 0.494 0.494 0.506
Ho 0.744 0.744 0.756

**Energy above the most stable polymorph in this dataset**: 0 meV/atom
**Total DFT energy (no corrections)**: -64.781 eV per cell



What did the third record say?
VASP calculation (PBE) on a geometry-optimized DyTm2Ga structure.

Cell: 3.483 3.483 8.775 Å, 90.00 90.00 90.00°
Element x y z (fractional)
Dy 0.000 0.000 0.000
Tm 0.500 0.500 0.291
Tm 0.500 0.500 0.709
Ga 0.000 0.000 0.500

**Energy above the most stable polymorph in this dataset**: 0 meV/atom
**Total DFT energy (no corrections)**: -17.722 eV per cell



Among the records above, which one has the highest total DFT energy (no corrections)? DyTm2Ga



The lowest total DFT energy (no corrections) belongs to which entry? Zr3Ag



Number 1 is which compound? Zr3Ag